Entry 1:
Compound: Ta2TeRu2
Source: Alexandria via LeMat-Bulk
Functional: PBE-GGA
Structure: optimized geometry

Computed properties:
DOS at the Fermi energy (states/eV per cell): 4.62
Formation energy without anion corrections (meV/atom): -56.9
Size of the total moment (μB per formula unit): 0.0
E (eV per atom): -9.14

CIF file:
```
data_Ta2TeRu2
_chemical_formula_sum 'Ta4 Te2 Ru4'
_symmetry_space_group_name_H-M 'P 4/m b m'
_symmetry_Int_Tables_number 127
_symmetry_space_group_name_Hall '-P 4 2ab'
_cell_length_a 7.706
_cell_length_b 7.706
_cell_length_c 3.032
_cell_angle_alpha 90.00
_cell_angle_beta 90.00
_cell_angle_gamma 90.00
loop_
_atom_site_label
_atom_site_type_symbol
_atom_site_fract_x
_atom_site_fract_y
_atom_site_fract_z
Ta1 Ta 0.150 0.350 0.000
Te1 Te 0.000 0.000 0.500
Ru1 Ru 0.137 0.637 0.500
```

---

Entry 2:
Compound: Ta2TeRu
Source: Alexandria via LeMat-Bulk
Functional: PBE-GGA
Structure: optimized geometry

Computed properties:
DOS at the Fermi energy (states/eV per cell): 5.33
Formation energy without anion corrections (meV/atom): 123.3
Size of the total moment (μB per formula unit): 0.0
E (eV per atom): -8.91

CIF file:
```
data_Ta2TeRu
_chemical_formula_sum 'Ta4 Te2 Ru2'
_symmetry_space_group_name_H-M 'I m m 2'
_symmetry_Int_Tables_number 44
_cell_length_a 3.370
_cell_length_b 4.521
_cell_length_c 9.354
_cell_angle_alpha 90.00
_cell_angle_beta 90.00
_cell_angle_gamma 90.00
loop_
_symmetry_equiv_pos_as_xyz
'x,y,z'
'-x,-y,z'
'-x,y,z'
'x,-y,z'
'x+1/2,y+1/2,z+1/2'
'-x+1/2,-y+1/2,z+1/2'
'-x+1/2,y+1/2,z+1/2'
'x+1/2,-y+1/2,z+1/2'
loop_
_atom_site_label
_atom_site_type_symbol
_atom_site_fract_x
_atom_site_fract_y
_atom_site_fract_z
Ta1 Ta 0.000 0.000 0.000
Ta2 Ta 0.000 0.500 0.239
Te1 Te 0.000 0.000 0.476
Ru1 Ru 0.000 0.500 0.742
```

---

Entry 3:
Compound: TaTe2Ru
Source: Alexandria via LeMat-Bulk
Functional: PBE-GGA
Structure: optimized geometry

Computed properties:
DOS at the Fermi energy (states/eV per cell): 4.35
Formation energy without anion corrections (meV/atom): 84.6
Size of the total moment (μB per formula unit): 0.0
Polymorph energy (0 for the lowest one) (meV/atom): 245
E (eV per atom): -6.77

CIF file:
```
data_TaTe2Ru
_chemical_formula_sum 'Ta2 Te4 Ru2'
_symmetry_space_group_name_H-M 'I m m 2'
_symmetry_Int_Tables_number 44
_cell_length_a 3.540
_cell_length_b 3.994
_cell_length_c 14.334
_cell_angle_alpha 90.00
_cell_angle_beta 90.00
_cell_angle_gamma 90.00
loop_
_symmetry_equiv_pos_as_xyz
'x,y,z'
'-x,-y,z'
'-x,y,z'
'x,-y,z'
'x+1/2,y+1/2,z+1/2'
'-x+1/2,-y+1/2,z+1/2'
'-x+1/2,y+1/2,z+1/2'
'x+1/2,-y+1/2,z+1/2'
loop_
_atom_site_label
_atom_site_type_symbol
_atom_site_fract_x
_atom_site_fract_y
_atom_site_fract_z
Ta1 Ta 0.000 0.000 0.000
Te1 Te 0.000 0.000 0.601
Te2 Te 0.000 0.500 0.848
Ru1 Ru 0.000 0.500 0.372
```